Record 1
Crystalline BeSbAu2 at its relaxed geometry, computed with GGA-PBEsol.

Computed properties:
N(E_F), states/eV/atom: 0.34
Crystal system: monoclinic
Energy relative to the elements, uncorrected, meV/atom: 82.6
E above lowest polymorph, kJ per mole of atoms: 11.8
E_tot, eV for the cell shown: -16.08

Cell: 4.1183 4.0891 4.4997 Å, 90.00 98.55 90.00°
Closest atoms and distances in Å follow each position.
Sites, in units of the cell vectors:
Be: 0.0000 0.0000 0.0000  4 Au 2.32-2.46
Sb: 0.4626 0.5000 0.2074  5 Au 2.77-2.89, 2 Be 2.86
Au: 0.1973 0.0000 0.5109  2 Be 2.32-2.46
Au: 0.8714 0.5000 0.7697  2 Be 2.32

Record 2
Crystalline Be2SbAu at its relaxed geometry, computed with GGA-PBEsol.

Computed properties:
N(E_F), states/eV/atom: 0.45
Crystal system: trigonal
Energy relative to the elements, uncorrected, meV/atom: 291.0
E_tot, eV for the cell shown: -45.95

Cell: 3.4108 3.4108 18.9332 Å, 90.00 90.00 120.00°
Closest atoms and distances in Å follow each position.
Sites, in units of the cell vectors:
Be: 0.0000 0.0000 0.2371  3 Au 2.38
Be: 0.0000 0.0000 0.7629  3 Au 2.38
Be: 0.3333 0.6667 0.4295  3 Au 2.38
Be: 0.3333 0.6667 0.9038  3 Au 2.38
Be: 0.6667 0.3333 0.0962  3 Au 2.38
Be: 0.6667 0.3333 0.5705  3 Au 2.38
Sb: 0.0000 0.0000 0.0000  6 Be 2.68
Sb: 0.3333 0.6667 0.6667  6 Be 2.68
Sb: 0.6667 0.3333 0.3333  6 Be 2.68
Au: 0.0000 0.0000 0.5000  6 Be 2.38
Au: 0.3333 0.6667 0.1667  6 Be 2.38
Au: 0.6667 0.3333 0.8333  6 Be 2.38

Record 3
Crystalline BeSbAu2 at its relaxed geometry, computed with GGA-PBEsol.

Computed properties:
N(E_F), states/eV/atom: 0.33
Crystal system: trigonal
Energy relative to the elements, uncorrected, meV/atom: -39.8
E above lowest polymorph, kJ per mole of atoms: 0.0
E_tot, eV for the cell shown: -16.56

Cell: 3.8936 3.8936 5.4707 Å, 90.00 90.00 120.00°
Closest atoms and distances in Å follow each position.
Sites, in units of the cell vectors:
Be: 0.0000 0.0000 0.0000  6 Au 2.42
Sb: 0.0000 0.0000 0.5000  2 Be 2.74, 6 Au 2.91
Au: 0.3333 0.6667 0.8376  3 Be 2.42
Au: 0.6667 0.3333 0.1624  3 Be 2.42

Record 4
Crystalline Be2SbAu at its relaxed geometry, computed with GGA-PBEsol.

Computed properties:
N(E_F), states/eV/atom: 0.35
Crystal system: monoclinic
Energy relative to the elements, uncorrected, meV/atom: 186.9
E_tot, eV for the cell shown: -31.47

Cell: 7.6453 3.1875 5.2877 Å, 90.00 101.24 90.00°
Closest atoms and distances in Å follow each position.
Sites, in units of the cell vectors:
Be: 0.2323 0.0000 0.1626  3 Au 2.37-2.42, 2 Be 2.40
Be: 0.2677 0.5000 0.8374  3 Au 2.37-2.42, 2 Be 2.40
Be: 0.7323 0.5000 0.1626  3 Au 2.37-2.42, 2 Be 2.40
Be: 0.7677 0.0000 0.8374  3 Au 2.37-2.42, 2 Be 2.40
Sb: 0.0000 0.0000 0.5000  6 Be 2.75-2.91
Sb: 0.5000 0.5000 0.5000  6 Be 2.75-2.91
Au: 0.0000 0.5000 0.0000  6 Be 2.37-2.42
Au: 0.5000 0.0000 0.0000  6 Be 2.37-2.42

Record 5
Crystalline BeSb2TeAu at its relaxed geometry, computed with GGA-PBEsol.

Computed properties:
N(E_F), states/eV/atom: 1.05
Crystal system: tetragonal
Energy relative to the elements, uncorrected, meV/atom: 1095.2
E_tot, eV for the cell shown: -15.09

Cell: 5.2703 5.2703 5.4086 Å, 90.00 90.00 90.00°
Closest atoms and distances in Å follow each position.
Sites, in units of the cell vectors:
Be: 0.0000 0.0000 0.0000  4 Te 3.73, 8 Sb 3.78
Sb: 0.0000 0.5000 0.5000  2 Au 2.64
Sb: 0.5000 0.0000 0.5000  2 Au 2.64
Te: 0.5000 0.5000 0.0000  2 Au 2.70
Au: 0.5000 0.5000 0.5000  4 Sb 2.64, 2 Te 2.70

Record 6
Crystalline ScBeAu2 at its relaxed geometry, computed with GGA-PBEsol.

Computed properties:
N(E_F), states/eV/atom: 0.36
Crystal system: tetragonal
E_tot, eV for the cell shown: -20.40
E_form, eV per atom: -0.49

Cell: 3.0228 3.0228 6.7749 Å, 90.00 90.00 90.00°
Closest atoms and distances in Å follow each position.
Sites, in units of the cell vectors:
Sc: 0.0000 0.0000 0.0000  8 Au 2.91, 4 Sc 3.02
Be: 0.0000 0.0000 0.5000  8 Au 2.56
Au: 0.5000 0.5000 0.2914  4 Be 2.56, 1 Au 2.83
Au: 0.5000 0.5000 0.7086  4 Be 2.56, 1 Au 2.83

Record 7
Crystalline Sc2BeTlAu at its relaxed geometry, computed with GGA-PBEsol.

Computed properties:
N(E_F), states/eV/atom: 1.05
Crystal system: tetragonal
E_tot, eV for the cell shown: -20.85
E_form, eV per atom: 0.58

Cell: 5.3065 5.3065 4.2821 Å, 90.00 90.00 90.00°
Closest atoms and distances in Å follow each position.
Sites, in units of the cell vectors:
Sc: 0.0000 0.5000 0.0000  2 Tl 2.65
Sc: 0.5000 0.0000 0.0000  2 Tl 2.65
Be: 0.0000 0.0000 0.5000  2 Tl 2.14
Tl: 0.0000 0.0000 0.0000  2 Be 2.14
Au: 0.5000 0.5000 0.5000  8 Sc 3.41, 4 Be 3.75

Record 8
Crystalline BeAuSe2 at its relaxed geometry, computed with GGA-PBEsol.

Computed properties:
N(E_F), states/eV/atom: 0.32
Crystal system: monoclinic
Energy relative to the elements, uncorrected, meV/atom: -176.6
E above lowest polymorph, kJ per mole of atoms: 7.0
E_tot, eV for the cell shown: -16.33

Cell: 4.5808 3.4596 5.4625 Å, 90.00 92.10 90.00°
Closest atoms and distances in Å follow each position.
Sites, in units of the cell vectors:
Be: 0.0000 0.0000 0.0000  3 Se 2.17-2.20
Au: 0.4211 0.5000 0.8989  3 Se 2.47-2.49, 2 Be 2.66
Se: 0.0746 0.5000 0.2350  2 Be 2.17
Se: 0.7007 0.0000 0.6764  1 Be 2.20

Record 9
Crystalline BeAuSe2 at its relaxed geometry, computed with GGA-PBEsol.

Computed properties:
N(E_F), states/eV/atom: 0.41
Crystal system: monoclinic
Energy relative to the elements, uncorrected, meV/atom: 135.3
E above lowest polymorph, kJ per mole of atoms: 37.1
E_tot, eV for the cell shown: -15.08

Cell: 4.4375 3.5210 4.8160 Å, 90.00 112.58 90.00°
Closest atoms and distances in Å follow each position.
Sites, in units of the cell vectors:
Be: 0.0000 0.0000 0.0000  4 Se 2.37, 2 Au 2.57
Au: 0.5000 0.0000 0.5000  2 Be 2.57, 4 Se 2.87
Se: 0.2142 0.5000 0.8022  2 Be 2.37, 1 Se 2.52
Se: 0.7858 0.5000 0.1978  2 Be 2.37, 1 Se 2.52

Record 10
Crystalline BeAuSe2 at its relaxed geometry, computed with GGA-PBEsol.

Computed properties:
N(E_F), states/eV/atom: 0.45
Crystal system: orthorhombic
Energy relative to the elements, uncorrected, meV/atom: 140.9
E above lowest polymorph, kJ per mole of atoms: 37.6
E_tot, eV for the cell shown: -30.12

Cell: 3.2637 4.0500 10.6113 Å, 90.00 90.00 90.00°
Closest atoms and distances in Å follow each position.
Sites, in units of the cell vectors:
Be: 0.0000 0.0000 0.0000  2 Se 2.33
Be: 0.5000 0.5000 0.5000  2 Se 2.33
Au: 0.0000 0.5000 0.3060  2 Se 2.59, 2 Be 2.63
Au: 0.5000 0.0000 0.8060  2 Se 2.59, 2 Be 2.63
Se: 0.0000 0.0000 0.4578  2 Au 2.59, 4 Be 2.64
Se: 0.0000 0.5000 0.6564  2 Be 2.33
Se: 0.5000 0.0000 0.1564  2 Be 2.33
Se: 0.5000 0.5000 0.9578  2 Au 2.59, 4 Be 2.64

Record 11
Crystalline BeAuSe2 at its relaxed geometry, computed with GGA-PBEsol.

Computed properties:
N(E_F), states/eV/atom: 0.57
Crystal system: tetragonal
Energy relative to the elements, uncorrected, meV/atom: 484.4
E above lowest polymorph, kJ per mole of atoms: 70.8
E_tot, eV for the cell shown: -13.69

Cell: 5.0080 5.0080 2.7872 Å, 90.00 90.00 90.00°
Closest atoms and distances in Å follow each position.
Sites, in units of the cell vectors:
Be: 0.0000 0.0000 0.0000  2 Be 2.79, 8 Se 2.87
Au: 0.5000 0.5000 0.0000  2 Au 2.79, 8 Se 2.87
Se: 0.0000 0.5000 0.5000  2 Se 2.79, 4 Be 2.87, 4 Au 2.87
Se: 0.5000 0.0000 0.5000  2 Se 2.79, 4 Be 2.87, 4 Au 2.87

Record 12
Crystalline BeAuSe2 at its relaxed geometry, computed with GGA-PBEsol.

Computed properties:
N(E_F), states/eV/atom: 0.66
Crystal system: tetragonal
Energy relative to the elements, uncorrected, meV/atom: -249.2
E above lowest polymorph, kJ per mole of atoms: 0.0
E_tot, eV for the cell shown: -66.48

Cell: 5.5902 5.5902 10.3932 Å, 90.00 90.00 90.00°
Closest atoms and distances in Å follow each position.
Sites, in units of the cell vectors:
Be: 0.0000 0.0000 0.0000  4 Se 2.22
Be: 0.0000 0.5000 0.2500  4 Se 2.22
Be: 0.5000 0.0000 0.7500  4 Se 2.22
Be: 0.5000 0.5000 0.5000  4 Se 2.22
Au: 0.0000 0.0000 0.5000  4 Se 2.53
Au: 0.0000 0.5000 0.7500  4 Se 2.53
Au: 0.5000 0.0000 0.2500  4 Se 2.53
Au: 0.5000 0.5000 0.0000  4 Se 2.53
Se: 0.2015 0.2500 0.1250  2 Be 2.22
Se: 0.2500 0.7015 0.3750  2 Be 2.22
Se: 0.2500 0.7985 0.8750  2 Be 2.22
Se: 0.2985 0.2500 0.6250  2 Be 2.22
Se: 0.7015 0.7500 0.6250  2 Be 2.22
Se: 0.7500 0.2015 0.8750  2 Be 2.22
Se: 0.7500 0.2985 0.3750  2 Be 2.22
Se: 0.7985 0.7500 0.1250  2 Be 2.22

Record 13
Crystalline BeAuSe2 at its relaxed geometry, computed with GGA-PBEsol.

Computed properties:
N(E_F), states/eV/atom: 0.53
Crystal system: tetragonal
Energy relative to the elements, uncorrected, meV/atom: 546.4
E above lowest polymorph, kJ per mole of atoms: 76.8
E_tot, eV for the cell shown: -26.88

Cell: 4.4051 4.4051 7.0715 Å, 90.00 90.00 90.00°
Closest atoms and distances in Å follow each position.
Sites, in units of the cell vectors:
Be: 0.0000 0.0000 0.0000  8 Se 2.82, 4 Au 3.11
Be: 0.5000 0.5000 0.5000  8 Se 2.82, 4 Au 3.11
Au: 0.0000 0.0000 0.5000  8 Se 2.82, 4 Be 3.11
Au: 0.5000 0.5000 0.0000  8 Se 2.82, 4 Be 3.11
Se: 0.0000 0.5000 0.2500  4 Be 2.82, 4 Au 2.82, 4 Se 3.11
Se: 0.0000 0.5000 0.7500  4 Be 2.82, 4 Au 2.82, 4 Se 3.11
Se: 0.5000 0.0000 0.2500  4 Be 2.82, 4 Au 2.82, 4 Se 3.11
Se: 0.5000 0.0000 0.7500  4 Be 2.82, 4 Au 2.82, 4 Se 3.11

Record 14
Crystalline BeSi2Au at its relaxed geometry, computed with GGA-PBEsol.

Computed properties:
N(E_F), states/eV/atom: 0.33
Crystal system: orthorhombic
Energy relative to the elements, uncorrected, meV/atom: 208.7
E_tot, eV for the cell shown: -37.17

Cell: 4.9989 5.0808 4.5469 Å, 90.00 90.00 90.00°
Closest atoms and distances in Å follow each position.
Sites, in units of the cell vectors:
Be: 0.0000 0.0000 0.0000  4 Au 2.50-2.54, 4 Si 2.57
Be: 0.5000 0.5000 0.0000  4 Au 2.50-2.54, 4 Si 2.57
Si: 0.2418 0.0000 0.5000  4 Si 2.42-2.58, 2 Be 2.57, 2 Au 2.61
Si: 0.2582 0.5000 0.5000  4 Si 2.42-2.58, 2 Be 2.57, 2 Au 2.61
Si: 0.7418 0.5000 0.5000  4 Si 2.42-2.58, 2 Be 2.57, 2 Au 2.61
Si: 0.7582 0.0000 0.5000  4 Si 2.42-2.58, 2 Be 2.57, 2 Au 2.61
Au: 0.0000 0.5000 0.0000  4 Be 2.50-2.54, 4 Si 2.61
Au: 0.5000 0.0000 0.0000  4 Be 2.50-2.54, 4 Si 2.61

Record 15
Crystalline BeSi2Au at its relaxed geometry, computed with GGA-PBEsol.

Computed properties:
N(E_F), states/eV/atom: 0.35
Crystal system: tetragonal
Energy relative to the elements, uncorrected, meV/atom: 369.2
E_tot, eV for the cell shown: -35.88

Cell: 3.8239 3.8239 7.6930 Å, 90.00 90.00 90.00°
Closest atoms and distances in Å follow each position.
Sites, in units of the cell vectors:
Be: 0.0000 0.0000 0.0000  4 Au 2.70, 8 Si 2.71
Be: 0.5000 0.5000 0.5000  4 Au 2.70, 8 Si 2.71
Si: 0.0000 0.5000 0.2500  4 Si 2.70, 4 Be 2.71, 4 Au 2.71
Si: 0.0000 0.5000 0.7500  4 Si 2.70, 4 Be 2.71, 4 Au 2.71
Si: 0.5000 0.0000 0.2500  4 Si 2.70, 4 Be 2.71, 4 Au 2.71
Si: 0.5000 0.0000 0.7500  4 Si 2.70, 4 Be 2.71, 4 Au 2.71
Au: 0.0000 0.0000 0.5000  4 Be 2.70, 8 Si 2.71
Au: 0.5000 0.5000 0.0000  4 Be 2.70, 8 Si 2.71

Record 16
Crystalline BeSi2Au at its relaxed geometry, computed with GGA-PBEsol.

Computed properties:
N(E_F), states/eV/atom: 0.23
Crystal system: tetragonal
Energy relative to the elements, uncorrected, meV/atom: 211.8
E_tot, eV for the cell shown: -18.57

Cell: 2.7507 2.7507 7.2110 Å, 90.00 90.00 90.00°
Closest atoms and distances in Å follow each position.
Sites, in units of the cell vectors:
Be: 0.0000 0.0000 0.0000  4 Si 2.49, 4 Au 2.51, 4 Be 2.75
Si: 0.0000 0.0000 0.4873  8 Si 2.75-2.76, 4 Au 2.87
Si: 0.5000 0.5000 0.2149  4 Be 2.49, 8 Si 2.75-2.76
Au: 0.5000 0.5000 0.7801  4 Be 2.51, 4 Au 2.75

Record 17
Crystalline BeSi2Au at its relaxed geometry, computed with GGA-PBEsol.

Computed properties:
N(E_F), states/eV/atom: 0.35
Crystal system: orthorhombic
Energy relative to the elements, uncorrected, meV/atom: 151.6
E_tot, eV for the cell shown: -37.62

Cell: 3.0085 3.5586 11.5607 Å, 90.00 90.00 90.00°
Closest atoms and distances in Å follow each position.
Sites, in units of the cell vectors:
Be: 0.0000 0.0000 0.0000  4 Au 2.33
Be: 0.5000 0.5000 0.5000  4 Au 2.33
Si: 0.0000 0.0000 0.2898  1 Au 2.43, 4 Si 2.51
Si: 0.0000 0.0000 0.7102  1 Au 2.43, 4 Si 2.51
Si: 0.5000 0.5000 0.2102  1 Au 2.43, 4 Si 2.51
Si: 0.5000 0.5000 0.7898  1 Au 2.43, 4 Si 2.51
Au: 0.0000 0.0000 0.5000  4 Be 2.33, 2 Si 2.43
Au: 0.5000 0.5000 0.0000  4 Be 2.33, 2 Si 2.43

Record 18
Crystalline BeSi2Au at its relaxed geometry, computed with GGA-PBEsol.

Computed properties:
N(E_F), states/eV/atom: 0.33
Crystal system: orthorhombic
Energy relative to the elements, uncorrected, meV/atom: 390.7
E_tot, eV for the cell shown: -35.71

Cell: 2.6175 5.2406 8.5582 Å, 90.00 90.00 90.00°
Closest atoms and distances in Å follow each position.
Sites, in units of the cell vectors:
Be: 0.0000 0.0000 0.0000  4 Si 2.34, 2 Be 2.62
Be: 0.5000 0.5000 0.0000  4 Si 2.34, 2 Be 2.62
Si: 0.0000 0.5000 0.2263  2 Be 2.34, 2 Si 2.62
Si: 0.0000 0.5000 0.7737  2 Be 2.34, 2 Si 2.62
Si: 0.5000 0.0000 0.2263  2 Be 2.34, 2 Si 2.62
Si: 0.5000 0.0000 0.7737  2 Be 2.34, 2 Si 2.62
Au: 0.0000 0.0000 0.5000  6 Au 2.62-2.93, 4 Si 2.68
Au: 0.5000 0.5000 0.5000  6 Au 2.62-2.93, 4 Si 2.68

Record 19
Crystalline BeSn2Au2 at its relaxed geometry, computed with GGA-PBEsol.

Computed properties:
N(E_F), states/eV/atom: 0.44
Crystal system: tetragonal
E_tot, eV for the cell shown: -37.13
E_form, eV per atom: 0.36

Cell: 3.7248 3.7248 15.1594 Å, 90.00 90.00 90.00°
Closest atoms and distances in Å follow each position.
Sites, in units of the cell vectors:
Be: 0.0000 0.0000 0.0000  8 Sn 3.02
Be: 0.5000 0.5000 0.5000  8 Sn 3.02
Sn: 0.0000 0.0000 0.4023  1 Sn 2.96, 4 Au 2.97, 4 Be 3.02
Sn: 0.0000 0.0000 0.5977  1 Sn 2.96, 4 Au 2.97, 4 Be 3.02
Sn: 0.5000 0.5000 0.0977  1 Sn 2.96, 4 Au 2.97, 4 Be 3.02
Sn: 0.5000 0.5000 0.9023  1 Sn 2.96, 4 Au 2.97, 4 Be 3.02
Au: 0.0000 0.5000 0.2500  4 Au 2.63
Au: 0.0000 0.5000 0.7500  4 Au 2.63
Au: 0.5000 0.0000 0.2500  4 Au 2.63
Au: 0.5000 0.0000 0.7500  4 Au 2.63

Record 20
Crystalline SrBeAu3 at its relaxed geometry, computed with GGA-PBEsol.

Computed properties:
N(E_F), states/eV/atom: 0.71
Crystal system: cubic
E above lowest polymorph, kJ per mole of atoms: 171.0
E_tot, eV for the cell shown: -10.87
E_form, eV per atom: 1.35

Cell: 5.5635 5.5635 5.5635 Å, 90.00 90.00 90.00°
Closest atoms and distances in Å follow each position.
Sites, in units of the cell vectors:
Sr: 0.0000 0.0000 0.0000  6 Au 2.78
Be: 0.5000 0.5000 0.5000  12 Au 3.93
Au: 0.0000 0.0000 0.5000  2 Sr 2.78
Au: 0.0000 0.5000 0.0000  2 Sr 2.78
Au: 0.5000 0.0000 0.0000  2 Sr 2.78